No. 1
This record from Alexandria via LeMat-Bulk describes an optimized crystal structure of NaMn2IrO. The functional is PBE+U.

```
NaMn2IrO
1.0
-3.365 -0.172 -2.800
-1.863 -2.989 2.423
-2.056 3.127 2.278
O Na Mn Ir
1 1 2 1
Cartesian
0.000 0.000 0.000
-3.642 -0.017 0.950
-1.028 1.564 1.139
-1.683 -0.086 -1.400
-0.931 -1.495 1.211
```

Output
**Crystal system**: tetragonal
**Final energy**: -0.2168 hartree per atom
**Symmetry**: P4/mmm
**Size of the total moment**: 9.81 μB per cell


No. 2
This record from Alexandria via LeMat-Bulk describes an optimized crystal structure of Cs2MnCrO4. The functional is PBE+U.

```
Cs2MnCrO4
1.0
-1.723 5.105 1.077
-7.239 0.359 0.737
0.106 0.683 10.948
O Cs Cr Mn
8 4 2 2
Cartesian
-1.551 1.630 10.779
-6.428 5.127 7.428
-5.659 2.758 5.946
-3.202 3.403 6.819
-6.438 1.951 1.441
-2.424 1.007 5.331
-7.287 5.370 11.984
-2.435 3.343 1.320
-1.377 4.437 4.795
-0.240 1.351 7.230
-5.204 5.018 2.932
-4.513 3.682 10.368
-3.997 1.797 6.112
-0.861 2.553 0.538
-4.859 4.350 6.650
0.000 0.000 0.000
```

Output
**Crystal system**: orthorhombic
**Final energy**: -0.2213 hartree per atom
**Symmetry**: Fddd
**Size of the total moment**: 14.00 μB per cell


- Which of these has the highest size of the total moment?
  Cs2MnCrO4


- What is the formula in the first record?
  NaMn2IrO


- size of the total moment of number 1 (NaMn2IrO)?
  9.81 μB per cell


- Which of these has the lowest final energy?
  Cs2MnCrO4